1.
VASP calculation (GGA-PBE) on a geometry-optimized Rb2SiRuBr6 structure.

Computed properties:
**Space-group type**: I4/mmm (139)
**M_tot**: 0.0 μB/f.u.
**E_tot**: -3.41 eV/atom
**E_form (uncorrected)**: -741.0 meV/atom
**Density**: 4.4 Mg/m³

Cell: 7.4941 7.4941 7.4888 Å, 59.98 59.98 90.00°
Closest atoms and distances in Å follow each position.
Fractional coordinates of all 10 atoms:
Rb (0.7500, 0.2500, 0.5000)  12 Br 3.74-3.75
Br (0.2443, 0.7557, 0.0000)  1 Ru 2.59, 1 Si 2.71
Si (0.5000, 0.5000, 0.0000)  6 Br 2.71
Br (0.2443, 0.2443, 0.5115)  1 Ru 2.59, 1 Si 2.71
Br (0.7557, 0.7557, 0.4885)  1 Ru 2.59, 1 Si 2.71
Br (0.2443, 0.2443, 0.0000)  1 Ru 2.59, 1 Si 2.71
Br (0.7557, 0.7557, 0.0000)  1 Ru 2.59, 1 Si 2.71
Rb (0.2500, 0.7500, 0.5000)  12 Br 3.74-3.75
Ru (0.0000, 0.0000, 0.0000)  6 Br 2.59
Br (0.7557, 0.2443, 0.0000)  1 Ru 2.59, 1 Si 2.71


2.
VASP calculation (GGA-PBE) on a geometry-optimized Rb2SiRuBr structure.

Computed properties:
**Space-group type**: P4/mmm (123)
**M_tot**: 4.7 μB/f.u.
**E_tot**: -2.90 eV/atom
**E_form (uncorrected)**: 763.1 meV/atom
**Density**: 3.0 Mg/m³

Cell: 6.6910 4.7626 6.6910 Å, 90.00 90.00 90.00°
Closest atoms and distances in Å follow each position.
Fractional coordinates of all 5 atoms:
Si (0.5000, 0.5000, 0.5000)  8 Rb 4.11
Ru (0.0000, 0.0000, 0.0000)  2 Br 2.38
Br (0.0000, 0.5000, 0.0000)  2 Ru 2.38
Rb (0.0000, 0.0000, 0.5000)  2 Ru 3.35
Rb (0.5000, 0.0000, 0.0000)  2 Ru 3.35